No. 1
Below is a relaxed Li3SbTe crystal, with properties calculated at the PBE level.

Cell: 5.200 5.200 5.200 Å, 90.00 90.00 90.00°
Element x y z (fractional)
Li (0.000, 0.000, 0.500)
Li (0.000, 0.500, 0.000)
Li (0.500, 0.000, 0.000)
Sb (0.500, 0.500, 0.500)
Te (0.000, 0.000, 0.000)

Properties
* space-group type: Pm-3m (221)
* electronic total energy: -2.916 eV per atom
* relative energy among the computed polymorphs: 0.000 eV per atom


No. 2
Below is a relaxed LiThSbTe crystal, with properties calculated at the PBE level.

Cell: 11.967 11.967 11.967 Å, 24.03 24.03 24.03°
Element x y z (fractional)
Li (0.198, 0.198, 0.198)
Li (0.802, 0.802, 0.802)
Th (0.394, 0.394, 0.394)
Th (0.606, 0.606, 0.606)
Sb (0.302, 0.302, 0.302)
Sb (0.698, 0.698, 0.698)
Te (0.116, 0.116, 0.116)
Te (0.884, 0.884, 0.884)

Properties
* space-group type: R-3m (166)
* electronic total energy: -4.943 eV per atom


Number 1: formation energy (no corrections) -0.31 eV per atom. Number 2: formation energy (no corrections) -0.79 eV per atom.